DFT (PBE) results for LaTb2YTl2 after structural relaxation.

a = 5.2105 Å, b = 6.8346 Å, c = 10.1832 Å
α = 90.00°, β = 90.00°, γ = 90.00°
Fractional positions:
La 0.0000 0.9567 0.4576
La 0.0000 0.4567 0.5424
Tb 0.5000 0.0513 0.0448
Tb 0.0000 0.3343 0.1803
Tb 0.5000 0.5513 0.9552
Tb 0.0000 0.8343 0.8197
Y 0.5000 0.1822 0.6947
Y 0.5000 0.6822 0.3053
Tl 0.0000 0.2990 0.8669
Tl 0.5000 0.2221 0.3598
Tl 0.0000 0.7990 0.1331
Tl 0.5000 0.7221 0.6402

Results
ΔE_f	-0.28	eV/atom
space-group type	Pmc2_1, No. 26